Entry 1:
A geometry-optimized CoPbW2 structure. Source: the Alexandria database, functional GGA-PBE.

Computed properties:
Space-group type = R-3m (166)
DFT total energy = -33.32 eV per formula unit

abc: 9.5479 9.5479 9.5479
angles: 17.54 17.54 17.54
With the nearest neighbours (Å) after each atom.
Element x y z (fractional)
Co 0.2500 0.2500 0.2500  6 W 2.61, 6 Co 2.91
Pb 0.7500 0.7500 0.7500  6 Pb 2.91, 6 W 3.18
W 0.9877 0.9877 0.9877  3 Co 2.61, 6 W 2.91
W 0.5123 0.5123 0.5123  3 Co 2.61, 6 W 2.91



Entry 2:
A geometry-optimized Zn2CoPbW structure. Source: the Alexandria database, functional GGA-PBE.

Computed properties:
Space-group type = P4/mmm (123)
DFT total energy = -21.04 eV per formula unit

abc: 5.0283 4.4367 5.0283
angles: 90.00 90.00 90.00
With the nearest neighbours (Å) after each atom.
Element x y z (fractional)
Pb 0.5000 0.5000 0.5000  8 Zn 3.35, 4 Co 3.56
Zn 0.0000 0.0000 0.5000  2 W 2.51
Zn 0.5000 0.0000 0.0000  2 W 2.51
Co 0.0000 0.5000 0.0000  2 W 2.22
W 0.0000 0.0000 0.0000  2 Co 2.22



Entry 3:
A geometry-optimized Y3CoPb structure. Source: the Alexandria database, functional GGA-PBE.

Computed properties:
Space-group type = R-3 (148)
Distance to the lowest polymorph of the same formula = 0.161 eV per atom

abc: 8.0522 8.0522 8.0522
angles: 50.00 50.00 50.00
With the nearest neighbours (Å) after each atom.
Element x y z (fractional)
Pb 0.3201 0.3201 0.3201  1 Co 2.82
Pb 0.6799 0.6799 0.6799  1 Co 2.82
Y 0.3810 0.1433 0.7790  2 Co 2.74-2.77
Y 0.1433 0.7790 0.3810  2 Co 2.74-2.77
Y 0.2210 0.6190 0.8567  2 Co 2.74-2.77
Y 0.8567 0.2210 0.6190  2 Co 2.74-2.77
Y 0.6190 0.8567 0.2210  2 Co 2.74-2.77
Y 0.7790 0.3810 0.1433  2 Co 2.74-2.77
Co 0.1864 0.1864 0.1864  6 Y 2.74-2.77, 1 Pb 2.82
Co 0.8136 0.8136 0.8136  6 Y 2.74-2.77, 1 Pb 2.82



Entry 4:
A geometry-optimized Y3CoPb structure. Source: the Alexandria database, functional GGA-PBE.

Computed properties:
Space-group type = P2_1/m (11)
Distance to the lowest polymorph of the same formula = 0.055 eV per atom

abc: 7.8850 6.8194 5.6799
angles: 90.00 60.07 90.00
With the nearest neighbours (Å) after each atom.
Element x y z (fractional)
Pb 0.6816 0.2500 0.6353  1 Co 2.82
Pb 0.3184 0.7500 0.3647  1 Co 2.82
Y 0.2857 0.5095 0.8857  2 Co 2.61-2.80
Y 0.7143 0.4905 0.1143  2 Co 2.61-2.80
Y 0.2857 0.9905 0.8857  2 Co 2.61-2.80
Y 0.7143 0.0095 0.1143  2 Co 2.61-2.80
Y 0.1195 0.2500 0.5142  2 Co 2.89-3.00, 1 Pb 3.17
Y 0.8805 0.7500 0.4858  2 Co 2.89-3.00, 1 Pb 3.17
Co 0.0053 0.2500 0.1033  5 Y 2.61-2.89, 1 Pb 2.82
Co 0.9947 0.7500 0.8967  5 Y 2.61-2.89, 1 Pb 2.82



Entry 5:
A geometry-optimized Y2CoPb structure. Source: the Alexandria database, functional GGA-PBE.

Computed properties:
Space-group type = Imm2 (44)
DFT total energy = -24.47 eV per formula unit

abc: 6.4778 6.4778 6.4778
angles: 149.23 135.87 54.76
With the nearest neighbours (Å) after each atom.
Element x y z (fractional)
Co 0.5009 0.5009 0.0000  2 Pb 2.82, 6 Y 2.87-2.98
Pb 0.6956 0.1956 0.5000  2 Co 2.82
Y 0.0022 0.0022 0.0000  4 Co 2.98, 2 Pb 3.30
Y 0.3013 0.8013 0.5000  2 Co 2.87



Entry 6:
A geometry-optimized Y3CoPb structure. Source: the Alexandria database, functional GGA-PBE.

Computed properties:
Space-group type = R-3c (167)
Distance to the lowest polymorph of the same formula = 0.087 eV per atom

abc: 7.2447 7.2447 7.2447
angles: 61.11 61.11 61.11
With the nearest neighbours (Å) after each atom.
Element x y z (fractional)
Pb 0.2462 0.2462 0.2462  9 Y 3.32-3.64
Pb 0.7462 0.7462 0.7462  9 Y 3.32-3.64
Y 0.2464 0.7963 0.6964  2 Co 2.61
Y 0.2963 0.7464 0.1964  2 Co 2.61
Y 0.1964 0.2963 0.7464  2 Co 2.61
Y 0.7464 0.1964 0.2963  2 Co 2.61
Y 0.7963 0.6964 0.2464  2 Co 2.61
Y 0.6964 0.2464 0.7963  2 Co 2.61
Co 0.9964 0.9964 0.9964  6 Y 2.61
Co 0.4964 0.4964 0.4964  6 Y 2.61



Entry 7:
A geometry-optimized Y2CoPb structure. Source: the Alexandria database, functional GGA-PBE.

Computed properties:
Space-group type = I-42d (122)
DFT total energy = -23.69 eV per formula unit

abc: 7.8639 7.8639 6.4453
angles: 52.41 52.41 90.00
With the nearest neighbours (Å) after each atom.
Element x y z (fractional)
Pb 0.0000 0.0000 0.0000  8 Y 3.24-3.47, 2 Co 3.26
Pb 0.7500 0.2500 0.5000  8 Y 3.24-3.47, 2 Co 3.26
Y 0.5641 0.1250 0.2500  2 Co 2.60
Y 0.1859 0.6250 0.2500  2 Co 2.60
Y 0.3750 0.4359 0.7500  2 Co 2.60
Y 0.8750 0.8141 0.7500  2 Co 2.60
Co 0.5000 0.5000 0.0000  4 Y 2.60
Co 0.2500 0.7500 0.5000  4 Y 2.60



Entry 8:
A geometry-optimized Y2CoPb structure. Source: the Alexandria database, functional GGA-PBE.

Computed properties:
Space-group type = P4mm (99)
DFT total energy = -23.72 eV per formula unit

abc: 3.4304 3.4304 8.3641
angles: 90.00 90.00 90.00
With the nearest neighbours (Å) after each atom.
Element x y z (fractional)
Co 0.0000 0.0000 0.5133  4 Pb 2.87, 4 Y 2.94
Pb 0.5000 0.5000 0.6977  4 Co 2.87, 1 Y 3.20
Y 0.0000 0.0000 0.9733  4 Pb 3.35, 4 Y 3.43
Y 0.5000 0.5000 0.3157  4 Co 2.94, 1 Pb 3.20



Entry 9:
A geometry-optimized Y3CoPb structure. Source: the Alexandria database, functional GGA-PBE.

Computed properties:
Space-group type = Cmce (64)
Distance to the lowest polymorph of the same formula = 0.115 eV per atom

abc: 24.2957 6.5007 9.4724
angles: 90.00 159.01 90.00
With the nearest neighbours (Å) after each atom.
Element x y z (fractional)
Pb 0.4207 0.7500 0.4206  9 Y 3.17-3.49
Pb 0.5793 0.2500 0.5794  9 Y 3.17-3.49
Pb 0.0793 0.2500 0.0794  9 Y 3.17-3.49
Pb 0.9207 0.7500 0.9206  9 Y 3.17-3.49
Y 0.2501 0.9997 0.7500  2 Co 2.79-2.80
Y 0.7499 0.0003 0.2500  2 Co 2.79-2.80
Y 0.2499 0.4997 0.7500  2 Co 2.79-2.80
Y 0.7501 0.5003 0.2500  2 Co 2.79-2.80
Y 0.3588 0.2500 0.3587  2 Co 2.61
Y 0.6412 0.7500 0.6413  2 Co 2.61
Y 0.1412 0.7500 0.1413  2 Co 2.61
Y 0.8588 0.2500 0.8587  2 Co 2.61
Y 0.4436 0.2505 0.9437  1 Co 2.57
Y 0.5564 0.7495 0.0563  1 Co 2.57
Y 0.0564 0.7505 0.5563  1 Co 2.57
Y 0.9436 0.2495 0.4437  1 Co 2.57
Co 0.1062 0.2476 0.6061  5 Y 2.57-2.80
Co 0.8938 0.7524 0.3939  5 Y 2.57-2.80
Co 0.3938 0.7476 0.8939  5 Y 2.57-2.80
Co 0.6062 0.2524 0.1061  5 Y 2.57-2.80



Entry 10:
A geometry-optimized Y3CoPb structure. Source: the Alexandria database, functional GGA-PBE.

Computed properties:
Space-group type = C2/m (12)
Distance to the lowest polymorph of the same formula = 0.049 eV per atom

abc: 16.6905 6.3890 6.3890
angles: 139.39 138.92 41.08
With the nearest neighbours (Å) after each atom.
Element x y z (fractional)
Pb 0.6144 0.9643 0.0357  1 Pb 3.17, 8 Y 3.25-3.50
Pb 0.3856 0.0357 0.9643  1 Pb 3.17, 8 Y 3.25-3.50
Y 0.1658 0.6987 0.3013  3 Co 2.83-3.11
Y 0.8342 0.3013 0.6987  3 Co 2.83-3.11
Y 0.8897 0.5096 0.4904  3 Co 2.72
Y 0.1103 0.4904 0.5096  3 Co 2.72
Y 0.3794 0.7686 0.2314  1 Co 2.80
Y 0.6206 0.2314 0.7686  1 Co 2.80
Co 0.8950 0.8716 0.1284  6 Y 2.72-2.83, 2 Co 3.04
Co 0.1050 0.1284 0.8716  6 Y 2.72-2.83, 2 Co 3.04



Entry 11:
A geometry-optimized Y3CoPb structure. Source: the Alexandria database, functional GGA-PBE.

Computed properties:
Space-group type = I-4m2 (119)
Distance to the lowest polymorph of the same formula = 0.583 eV per atom

abc: 6.0569 6.0569 9.3716
angles: 71.15 71.15 90.00
With the nearest neighbours (Å) after each atom.
Element x y z (fractional)
Pb 0.5899 0.0899 0.8202  2 Co 3.38, 8 Y 3.42-3.70
Pb 0.9101 0.4101 0.1798  2 Co 3.38, 8 Y 3.42-3.70
Y 0.6330 0.8869 0.2262  1 Co 2.43
Y 0.1131 0.3670 0.7738  1 Co 2.43
Y 0.1131 0.8593 0.7738  1 Co 2.43
Y 0.1407 0.8869 0.2262  1 Co 2.43
Y 0.2973 0.2973 0.4054  2 Co 3.13, 2 Y 3.43
Y 0.7027 0.7027 0.5946  2 Co 3.13, 2 Y 3.43
Co 0.0000 0.0000 0.0000  4 Y 2.43
Co 0.2500 0.7500 0.5000  4 Y 2.73



Entry 12:
A geometry-optimized Y3CoPb structure. Source: the Alexandria database, functional GGA-PBE.

Computed properties:
Space-group type = P6_3/mmc (194)
Distance to the lowest polymorph of the same formula = 0.155 eV per atom

abc: 5.1979 5.1979 10.7933
angles: 90.00 90.00 120.00
With the nearest neighbours (Å) after each atom.
Element x y z (fractional)
Pb 0.3333 0.6667 0.7500  3 Y 3.00
Pb 0.6667 0.3333 0.2500  3 Y 3.00
Y 0.0000 0.0000 0.2500  2 Co 2.70, 3 Pb 3.00
Y 0.0000 0.0000 0.7500  2 Co 2.70, 3 Pb 3.00
Y 0.3333 0.6667 0.0685  3 Co 3.09, 3 Y 3.35, 1 Pb 3.44
Y 0.3333 0.6667 0.4315  3 Co 3.09, 3 Y 3.35, 1 Pb 3.44
Y 0.6667 0.3333 0.5685  3 Co 3.09, 3 Y 3.35, 1 Pb 3.44
Y 0.6667 0.3333 0.9315  3 Co 3.09, 3 Y 3.35, 1 Pb 3.44
Co 0.0000 0.0000 0.0000  2 Y 2.70
Co 0.0000 0.0000 0.5000  2 Y 2.70